# 1
Compound: SrZr3Cu
Source: Alexandria
Functional: PBE
Structure: relaxed

Calculated values
For the formation energy, the calculation gives 2.062 eV per atom. The total moment comes out at 0.0 μB per formula unit. As for the offset from the most stable computed form: 1531.7 meV/atom. As for the crystal system: cubic. As for the total energy: -4.22 eV/atom.

Geometry as CIF:
```
data_SrZr3Cu
_chemical_formula_sum 'Sr1 Zr3 Cu1'
_symmetry_space_group_name_H-M 'P m -3 m'
_symmetry_Int_Tables_number 221
_symmetry_space_group_name_Hall '-P 4 2 3'
_cell_length_a 5.139
_cell_length_b 5.139
_cell_length_c 5.139
_cell_angle_alpha 90.00
_cell_angle_beta 90.00
_cell_angle_gamma 90.00
loop_
_atom_site_label
_atom_site_fract_x
_atom_site_fract_y
_atom_site_fract_z
Sr1 0.000 0.000 0.000
Zr1 0.000 0.000 0.500
Cu1 0.500 0.500 0.500
```

***

# 2
Compound: SrZrCu2
Source: Alexandria
Functional: PBE
Structure: relaxed

Calculated values
For the formation energy, the calculation gives 0.150 eV per atom. The total moment comes out at 0.0 μB per formula unit. As for the offset from the most stable computed form: 156.9 meV/atom. As for the crystal system: tetragonal. As for the total energy: -4.46 eV/atom.

Geometry as CIF:
```
data_SrZrCu2
_chemical_formula_sum 'Sr1 Zr1 Cu2'
_symmetry_space_group_name_H-M 'P 4/m m m'
_symmetry_Int_Tables_number 123
_symmetry_space_group_name_Hall '-P 4 2'
_cell_length_a 4.999
_cell_length_b 4.999
_cell_length_c 3.330
_cell_angle_alpha 90.00
_cell_angle_beta 90.00
_cell_angle_gamma 90.00
loop_
_atom_site_label
_atom_site_fract_x
_atom_site_fract_y
_atom_site_fract_z
Sr1 0.000 0.000 0.000
Zr1 0.500 0.500 0.000
Cu1 0.000 0.500 0.500
```

***

# 3
Compound: SrZr2Cu
Source: Alexandria
Functional: PBE
Structure: relaxed

Calculated values
For the formation energy, the calculation gives 0.096 eV per atom. The total moment comes out at 0.0 μB per formula unit. As for the offset from the most stable computed form: 0.0 meV/atom. As for the crystal system: tetragonal. As for the total energy: -5.62 eV/atom.

Geometry as CIF:
```
data_SrZr2Cu
_chemical_formula_sum 'Sr1 Zr2 Cu1'
_symmetry_space_group_name_H-M 'P 4 m m'
_symmetry_Int_Tables_number 99
_cell_length_a 3.381
_cell_length_b 3.381
_cell_length_c 8.733
_cell_angle_alpha 90.00
_cell_angle_beta 90.00
_cell_angle_gamma 90.00
loop_
_symmetry_equiv_pos_as_xyz
'x,y,z'
'-y,x,z'
'-x,-y,z'
'y,-x,z'
'-x,y,z'
'y,x,z'
'x,-y,z'
'-y,-x,z'
loop_
_atom_site_label
_atom_site_fract_x
_atom_site_fract_y
_atom_site_fract_z
Sr1 0.000 0.000 0.000
Zr1 0.000 0.000 0.577
Zr2 0.500 0.500 0.349
Cu1 0.500 0.500 0.741
```

***

# 4
Compound: SrZrCu2
Source: Alexandria
Functional: PBE
Structure: relaxed

Calculated values
For the formation energy, the calculation gives 0.247 eV per atom. The total moment comes out at 0.0 μB per formula unit. As for the offset from the most stable computed form: 254.1 meV/atom. As for the crystal system: cubic. As for the total energy: -4.36 eV/atom.

Geometry as CIF:
```
data_SrZrCu2
_chemical_formula_sum 'Sr4 Zr4 Cu8'
_symmetry_space_group_name_H-M 'F m -3 m'
_symmetry_Int_Tables_number 225
_symmetry_space_group_name_Hall '-F 4 2 3'
_cell_length_a 6.975
_cell_length_b 6.975
_cell_length_c 6.975
_cell_angle_alpha 90.00
_cell_angle_beta 90.00
_cell_angle_gamma 90.00
loop_
_atom_site_label
_atom_site_fract_x
_atom_site_fract_y
_atom_site_fract_z
Sr1 0.000 0.000 0.000
Zr1 0.000 0.000 0.500
Cu1 0.250 0.250 0.250
```

***

# 5
Compound: SrZr2Cu
Source: Alexandria
Functional: PBE
Structure: relaxed

Calculated values
For the formation energy, the calculation gives 0.450 eV per atom. The total moment comes out at 0.0 μB per formula unit. As for the offset from the most stable computed form: 354.1 meV/atom. As for the crystal system: orthorhombic. As for the total energy: -5.27 eV/atom.

Geometry as CIF:
```
data_SrZr2Cu
_chemical_formula_sum 'Sr1 Zr2 Cu1'
_symmetry_space_group_name_H-M 'P m m m'
_symmetry_Int_Tables_number 47
_cell_length_a 3.291
_cell_length_b 5.124
_cell_length_c 5.753
_cell_angle_alpha 90.00
_cell_angle_beta 90.00
_cell_angle_gamma 90.00
loop_
_symmetry_equiv_pos_as_xyz
'x,y,z'
'-x,-y,-z'
'-x,-y,z'
'x,y,-z'
'x,-y,-z'
'-x,y,z'
'-x,y,-z'
'x,-y,z'
loop_
_atom_site_label
_atom_site_fract_x
_atom_site_fract_y
_atom_site_fract_z
Sr1 0.000 0.000 0.000
Zr1 0.000 0.500 0.500
Zr2 0.500 0.000 0.500
Cu1 0.500 0.500 0.000
```

***

# 6
Compound: SrZr2Cu2
Source: Alexandria
Functional: PBE
Structure: relaxed

Calculated values
For the formation energy, the calculation gives 0.184 eV per atom. The total moment comes out at 0.0 μB per formula unit. As for the offset from the most stable computed form: 0.0 meV/atom. As for the crystal system: tetragonal. As for the total energy: -5.21 eV/atom.

Geometry as CIF:
```
data_SrZr2Cu2
_chemical_formula_sum 'Sr2 Zr4 Cu4'
_symmetry_space_group_name_H-M 'P 4/m b m'
_symmetry_Int_Tables_number 127
_symmetry_space_group_name_Hall '-P 4 2ab'
_cell_length_a 8.372
_cell_length_b 8.372
_cell_length_c 3.004
_cell_angle_alpha 90.00
_cell_angle_beta 90.00
_cell_angle_gamma 90.00
loop_
_atom_site_label
_atom_site_fract_x
_atom_site_fract_y
_atom_site_fract_z
Sr1 0.000 0.000 0.000
Zr1 0.126 0.374 0.000
Cu1 0.168 0.668 0.500
```

***

# 7
Compound: SrZrCu2
Source: Alexandria
Functional: PBE
Structure: relaxed

Calculated values
For the formation energy, the calculation gives 0.192 eV per atom. The total moment comes out at 0.0 μB per formula unit. As for the offset from the most stable computed form: 198.9 meV/atom. As for the crystal system: tetragonal. As for the total energy: -4.41 eV/atom.

Geometry as CIF:
```
data_SrZrCu2
_chemical_formula_sum 'Sr1 Zr1 Cu2'
_symmetry_space_group_name_H-M 'P 4 m m'
_symmetry_Int_Tables_number 99
_cell_length_a 3.353
_cell_length_b 3.353
_cell_length_c 7.700
_cell_angle_alpha 90.00
_cell_angle_beta 90.00
_cell_angle_gamma 90.00
loop_
_symmetry_equiv_pos_as_xyz
'x,y,z'
'-y,x,z'
'-x,-y,z'
'y,-x,z'
'-x,y,z'
'y,x,z'
'x,-y,z'
'-y,-x,z'
loop_
_atom_site_label
_atom_site_fract_x
_atom_site_fract_y
_atom_site_fract_z
Sr1 0.000 0.000 0.000
Zr1 0.500 0.500 0.376
Cu1 0.000 0.000 0.584
Cu2 0.500 0.500 0.722
```

***

# 8
Compound: SrZrCu2
Source: Alexandria
Functional: PBE
Structure: relaxed

Calculated values
For the formation energy, the calculation gives 0.424 eV per atom. The total moment comes out at 1.1 μB per formula unit. As for the offset from the most stable computed form: 430.7 meV/atom. As for the crystal system: tetragonal. As for the total energy: -4.18 eV/atom.

Geometry as CIF:
```
data_SrZrCu2
_chemical_formula_sum 'Sr2 Zr2 Cu4'
_symmetry_space_group_name_H-M 'I -4 m 2'
_symmetry_Int_Tables_number 119
_symmetry_space_group_name_Hall 'I -4 -2'
_cell_length_a 4.090
_cell_length_b 4.090
_cell_length_c 10.169
_cell_angle_alpha 90.00
_cell_angle_beta 90.00
_cell_angle_gamma 90.00
loop_
_atom_site_label
_atom_site_fract_x
_atom_site_fract_y
_atom_site_fract_z
Sr1 0.000 0.000 0.000
Zr1 0.000 0.500 0.750
Cu1 0.000 0.000 0.500
Cu2 0.000 0.500 0.250
```

***

# 9
Compound: SrZr2Cu
Source: Alexandria
Functional: PBE
Structure: relaxed

Calculated values
For the formation energy, the calculation gives 0.298 eV per atom. The total moment comes out at 0.6 μB per formula unit. As for the offset from the most stable computed form: 202.6 meV/atom. As for the crystal system: tetragonal. As for the total energy: -5.42 eV/atom.

Geometry as CIF:
```
data_SrZr2Cu
_chemical_formula_sum 'Sr1 Zr2 Cu1'
_symmetry_space_group_name_H-M 'P 4/m m m'
_symmetry_Int_Tables_number 123
_symmetry_space_group_name_Hall '-P 4 2'
_cell_length_a 3.383
_cell_length_b 3.383
_cell_length_c 8.869
_cell_angle_alpha 90.00
_cell_angle_beta 90.00
_cell_angle_gamma 90.00
loop_
_atom_site_label
_atom_site_fract_x
_atom_site_fract_y
_atom_site_fract_z
Sr1 0.000 0.000 0.000
Zr1 0.500 0.500 0.332
Cu1 0.000 0.000 0.500
```

***

# 10
Compound: SrZrCu2
Source: Alexandria
Functional: PBE
Structure: relaxed

Calculated values
For the formation energy, the calculation gives 0.494 eV per atom. The total moment comes out at 0.0 μB per formula unit. As for the offset from the most stable computed form: 501.2 meV/atom. As for the crystal system: cubic. As for the total energy: -4.11 eV/atom.

Geometry as CIF:
```
data_SrZrCu2
_chemical_formula_sum 'Sr4 Zr4 Cu8'
_symmetry_space_group_name_H-M 'F -4 3 m'
_symmetry_Int_Tables_number 216
_symmetry_space_group_name_Hall 'F -4 2 3'
_cell_length_a 6.753
_cell_length_b 6.753
_cell_length_c 6.753
_cell_angle_alpha 90.00
_cell_angle_beta 90.00
_cell_angle_gamma 90.00
loop_
_atom_site_label
_atom_site_fract_x
_atom_site_fract_y
_atom_site_fract_z
Sr1 0.000 0.000 0.000
Zr1 0.250 0.250 0.750
Cu1 0.000 0.000 0.500
Cu2 0.250 0.250 0.250
```